Er3Th2Al4 | PBE | optimized geometry

The structure in POSCAR format:
```
Er3Th2Al4
1.0
3.2938 -8.4200 0.0000
3.2938 8.4200 0.0000
0.0000 0.0000 8.4952
Er Th Al
6 4 8
Direct
0.0000 0.0000 0.0000
0.0277 0.4723 0.2500
0.4723 0.0277 0.7500
0.5000 0.5000 0.5000
0.5277 0.9723 0.2500
0.9723 0.5277 0.7500
0.1039 0.8961 0.4110
0.3961 0.6039 0.9110
0.6039 0.3961 0.0890
0.8961 0.1039 0.5890
0.1731 0.8269 0.0443
0.2017 0.2983 0.2500
0.2983 0.2017 0.7500
0.3269 0.6731 0.5443
0.6731 0.3269 0.4557
0.7017 0.7983 0.2500
0.7983 0.7017 0.7500
0.8269 0.1731 0.9557
```

Values from the calculation:
- density of states at the Fermi level (states/eV/atom) = 0.744
- total magnetic moment (μB per formula unit) = 0.00
- formation energy (eV/atom) = -0.16